A plane-wave DFT calculation with GGA-PBE was carried out for crystalline MgCoSiNi at its relaxed geometry.

E above lowest polymorph, eV per formula unit: 0.000
VASP energy, eV per cell: -21.0
Calculated density, g/cm³: 5.97

abc: 4.0591 4.0591 4.0591
angles: 60.00 60.00 60.00
Closest atoms and distances in Å follow each position.
Element x y z (fractional)
Co: 0.2500 0.2500 0.2500  4 Si 2.49, 4 Mg 2.49
Mg: 0.5000 0.5000 0.5000  4 Ni 2.49, 4 Co 2.49
Ni: 0.7500 0.7500 0.7500  4 Mg 2.49, 4 Si 2.49
Si: 0.0000 0.0000 0.0000  4 Co 2.49, 4 Ni 2.49